Entry 1:
# PBE CsRbTl2Rh, optimized geometry
# Calculated density ... 6.5 g/cm³
# Energy relative to the lowest polymorph listed for this composition ... 0.0 meV per atom
# Formation energy ... 0.205 eV per formula unit
data_CsRbTl2Rh
_chemical_formula_sum 'Cs1 Rb1 Tl2 Rh1'
_space_group_name_H-M_alt 'P 4/m m m'
_space_group_IT_number 123
_space_group_name_Hall '-P 4 2'
_cell_length_a 5.425
_cell_length_b 5.425
_cell_length_c 6.346
_cell_angle_alpha 90.00
_cell_angle_beta 90.00
_cell_angle_gamma 90.00
loop_
_atom_site_label
_atom_site_fract_x
_atom_site_fract_y
_atom_site_fract_z
Cs1 0.000 0.000 0.000
Rb1 0.500 0.500 0.000
Tl1 0.000 0.500 0.500
Rh1 0.500 0.500 0.500

=====

Entry 2:
# PBE CsRbTl2Rh, optimized geometry
# Calculated density ... 6.4 g/cm³
# Energy relative to the lowest polymorph listed for this composition ... 34.8 meV per atom
# Formation energy ... 0.379 eV per formula unit
data_CsRbTl2Rh
_chemical_formula_sum 'Cs1 Rb1 Tl2 Rh1'
_space_group_name_H-M_alt 'P 4/m m m'
_space_group_IT_number 123
_space_group_name_Hall '-P 4 2'
_cell_length_a 5.439
_cell_length_b 5.439
_cell_length_c 6.396
_cell_angle_alpha 90.00
_cell_angle_beta 90.00
_cell_angle_gamma 90.00
loop_
_atom_site_label
_atom_site_fract_x
_atom_site_fract_y
_atom_site_fract_z
Cs1 0.000 0.000 0.000
Rb1 0.500 0.500 0.000
Tl1 0.000 0.500 0.500
Rh1 0.000 0.000 0.500

=====

Entry 3:
# PBE CsRbRu2, optimized geometry
# Calculated density ... 6.4 g/cm³
# Formation energy ... 8.552 eV per formula unit
data_CsRbRu2
_chemical_formula_sum 'Cs4 Rb4 Ru8'
_space_group_name_H-M_alt 'F m -3 m'
_space_group_IT_number 225
_space_group_name_Hall '-F 4 2 3'
_cell_length_a 7.570
_cell_length_b 7.570
_cell_length_c 7.570
_cell_angle_alpha 90.00
_cell_angle_beta 90.00
_cell_angle_gamma 90.00
loop_
_atom_site_label
_atom_site_fract_x
_atom_site_fract_y
_atom_site_fract_z
Cs1 0.000 0.000 0.000
Rb1 0.000 0.000 0.500
Ru1 0.250 0.250 0.250

=====

Entry 4:
# PBE CsRb2Ru, optimized geometry
# Calculated density ... 3.7 g/cm³
# Energy relative to the lowest polymorph listed for this composition ... 0.0 meV per atom
# Formation energy ... 4.440 eV per formula unit
data_CsRb2Ru
_chemical_formula_sum 'Cs4 Rb8 Ru4'
_space_group_name_H-M_alt 'F m -3 m'
_space_group_IT_number 225
_space_group_name_Hall '-F 4 2 3'
_cell_length_a 9.003
_cell_length_b 9.003
_cell_length_c 9.003
_cell_angle_alpha 90.00
_cell_angle_beta 90.00
_cell_angle_gamma 90.00
loop_
_atom_site_label
_atom_site_fract_x
_atom_site_fract_y
_atom_site_fract_z
Cs1 0.000 0.000 0.000
Rb1 0.250 0.250 0.250
Ru1 0.000 0.000 0.500

=====

Entry 5:
# PBE Cs3RbRu, optimized geometry
# Calculated density ... 3.5 g/cm³
# Formation energy ... 4.241 eV per formula unit
data_Cs3RbRu
_chemical_formula_sum 'Cs3 Rb1 Ru1'
_space_group_name_H-M_alt 'P m -3 m'
_space_group_IT_number 221
_space_group_name_Hall '-P 4 2 3'
_cell_length_a 6.539
_cell_length_b 6.539
_cell_length_c 6.539
_cell_angle_alpha 90.00
_cell_angle_beta 90.00
_cell_angle_gamma 90.00
loop_
_atom_site_label
_atom_site_fract_x
_atom_site_fract_y
_atom_site_fract_z
Cs1 0.000 0.000 0.500
Rb1 0.500 0.500 0.500
Ru1 0.000 0.000 0.000

=====

Entry 6:
# PBE CsRb2Ru, optimized geometry
# Calculated density ... 2.3 g/cm³
# Energy relative to the lowest polymorph listed for this composition ... 116.0 meV per atom
# Formation energy ... 4.904 eV per formula unit
data_CsRb2Ru
_chemical_formula_sum 'Cs4 Rb8 Ru4'
_space_group_name_H-M_alt 'I -4 2 d'
_space_group_IT_number 122
_space_group_name_Hall 'I -4 2bw'
_cell_length_a 9.325
_cell_length_b 9.325
_cell_length_c 13.670
_cell_angle_alpha 90.00
_cell_angle_beta 90.00
_cell_angle_gamma 90.00
loop_
_atom_site_label
_atom_site_fract_x
_atom_site_fract_y
_atom_site_fract_z
Cs1 0.000 0.000 0.000
Rb1 0.002 0.250 0.625
Ru1 0.000 0.000 0.500

=====

Entry 7:
# PBE CsRbRu3, optimized geometry
# Calculated density ... 6.6 g/cm³
# Energy relative to the lowest polymorph listed for this composition ... 269.9 meV per atom
# Formation energy ... 14.473 eV per formula unit
data_CsRbRu3
_chemical_formula_sum 'Cs1 Rb1 Ru3'
_space_group_name_H-M_alt 'P m -3 m'
_space_group_IT_number 221
_space_group_name_Hall '-P 4 2 3'
_cell_length_a 5.076
_cell_length_b 5.076
_cell_length_c 5.076
_cell_angle_alpha 90.00
_cell_angle_beta 90.00
_cell_angle_gamma 90.00
loop_
_atom_site_label
_atom_site_fract_x
_atom_site_fract_y
_atom_site_fract_z
Cs1 0.000 0.000 0.000
Rb1 0.500 0.500 0.500
Ru1 0.000 0.500 0.500

=====

Entry 8:
# PBE CsRbRu3, optimized geometry
# Calculated density ... 6.3 g/cm³
# Energy relative to the lowest polymorph listed for this composition ... 0.0 meV per atom
# Formation energy ... 13.124 eV per formula unit
data_CsRbRu3
_chemical_formula_sum 'Cs1 Rb1 Ru3'
_space_group_name_H-M_alt 'P m -3 m'
_space_group_IT_number 221
_space_group_name_Hall '-P 4 2 3'
_cell_length_a 5.156
_cell_length_b 5.156
_cell_length_c 5.156
_cell_angle_alpha 90.00
_cell_angle_beta 90.00
_cell_angle_gamma 90.00
loop_
_atom_site_label
_atom_site_fract_x
_atom_site_fract_y
_atom_site_fract_z
Cs1 0.000 0.000 0.000
Rb1 0.500 0.500 0.500
Ru1 0.000 0.000 0.500

=====

Per-record total magnetization, μB per formula unit: 0.0, 0.0, 3.4, 1.2, 0.0, 1.3, 5.8, 4.4